Entry 1:
# Nd3Be2AlPd9 (PBE, relaxed)
# total moment	0.0	μB/f.u.
# VASP energy	-5.50	eV/atom
# ρ	8.615	g/cm3
data_Nd3Be2AlPd9
_chemical_formula_sum 'Nd3 Be2 Al1 Pd9'
_space_group_name_H-M_alt 'P -3 m 1'
_space_group_IT_number 164
_space_group_name_Hall '-P 3 2"'
_cell_length_a 5.9262
_cell_length_b 5.9262
_cell_length_c 9.0973
_cell_angle_alpha 90.00
_cell_angle_beta 90.00
_cell_angle_gamma 120.00
loop_
_atom_site_label
_atom_site_fract_x
_atom_site_fract_y
_atom_site_fract_z
Nd1 0.0000 0.0000 0.0000
Nd2 0.3333 0.6667 0.6572
Be1 0.3333 0.6667 0.1522
Al1 0.0000 0.0000 0.5000
Pd1 0.0000 0.5000 0.0000
Pd2 0.1633 0.3267 0.2966

Entry 2:
# PrPu2Pb (PBE, relaxed)
# total moment	12.6	μB/f.u.
# VASP energy	-9.43	eV/atom
# ρ	12.010	g/cm3
data_PrPu2Pb
_chemical_formula_sum 'Pr1 Pu2 Pb1'
_space_group_name_H-M_alt 'P 4/m m m'
_space_group_IT_number 123
_space_group_name_Hall '-P 4 2'
_cell_length_a 4.6961
_cell_length_b 4.6961
_cell_length_c 5.2419
_cell_angle_alpha 90.00
_cell_angle_beta 90.00
_cell_angle_gamma 90.00
loop_
_atom_site_label
_atom_site_fract_x
_atom_site_fract_y
_atom_site_fract_z
Pr1 0.0000 0.0000 0.0000
Pu1 0.0000 0.5000 0.5000
Pb1 0.5000 0.5000 0.0000

Entry 3:
# Ce3Sb2AsRh9 (PBE, relaxed)
# total moment	0.8	μB/f.u.
# VASP energy	-6.85	eV/atom
# ρ	8.512	g/cm3
data_Ce3Sb2AsRh9
_chemical_formula_sum 'Ce3 Sb2 As1 Rh9'
_space_group_name_H-M_alt 'P -3 m 1'
_space_group_IT_number 164
_space_group_name_Hall '-P 3 2"'
_cell_length_a 7.0323
_cell_length_b 7.0323
_cell_length_c 7.5840
_cell_angle_alpha 90.00
_cell_angle_beta 90.00
_cell_angle_gamma 120.00
loop_
_atom_site_label
_atom_site_fract_x
_atom_site_fract_y
_atom_site_fract_z
Ce1 0.0000 0.0000 0.0000
Ce2 0.3333 0.6667 0.7633
Sb1 0.3333 0.6667 0.2627
As1 0.0000 0.0000 0.5000
Rh1 0.0000 0.5000 0.0000
Rh2 0.1315 0.2630 0.2616

Entry 4:
# Ba3Ga4Pd4 (PBE, relaxed)
# total moment	0.0	μB/f.u.
# VASP energy	-4.00	eV/atom
# ρ	7.097	g/cm3
data_Ba3Ga4Pd4
_chemical_formula_sum 'Ba6 Ga8 Pd8'
_space_group_name_H-M_alt 'I m m m'
_space_group_IT_number 71
_space_group_name_Hall '-I 2 2'
_cell_length_a 4.8518
_cell_length_b 7.1325
_cell_length_c 15.0994
_cell_angle_alpha 90.00
_cell_angle_beta 90.00
_cell_angle_gamma 90.00
loop_
_atom_site_label
_atom_site_fract_x
_atom_site_fract_y
_atom_site_fract_z
Ba1 0.0000 0.0000 0.0000
Ba2 0.0000 0.5000 0.1352
Ga1 0.0000 0.0000 0.2209
Ga2 0.0000 0.1803 0.5000
Pd1 0.0000 0.3026 0.3306